Entry 1:
Entry from Alexandria via LeMat-Bulk: an optimized crystal structure of TlCdPt3 (PBE).

Cell: 5.015 5.015 5.015 Å, 90.00 90.00 90.00°
Fractional coordinates of all 5 atoms:
Tl 0.500 0.500 0.500
Pt 0.000 0.500 0.000
Pt 0.000 0.000 0.500
Pt 0.500 0.000 0.000
Cd 0.000 0.000 0.000

Values from the calculation:
Total magnetic moment ... 0.000 μB/atom
ΔE_f ... 1.019 eV/atom
VASP energy ... -16.310 eV/cell
Energy above the lowest structure with this stoichiometry ... 0.0 meV/atom

Entry 2:
Entry from Alexandria via LeMat-Bulk: an optimized crystal structure of La2Pr3ThTe6 (PBE).

Cell: 4.540 9.075 10.121 Å, 102.54 102.96 90.00°
Fractional coordinates of all 12 atoms:
La 0.835 0.669 0.671
La 0.165 0.331 0.329
Pr 0.500 0.500 0.000
Pr 0.833 0.164 0.665
Pr 0.167 0.836 0.335
Th 0.500 0.000 0.000
Te 0.334 0.918 0.669
Te 0.667 0.585 0.335
Te 0.666 0.082 0.331
Te 0.998 0.247 0.996
Te 0.002 0.753 0.004
Te 0.333 0.415 0.665

Values from the calculation:
Total magnetic moment ... 0.000 μB/atom
VASP energy ... -67.449 eV/cell
Energy relative to the elements, uncorrected ... -1415 meV/atom

Entry 3:
Entry from Alexandria via LeMat-Bulk: an optimized crystal structure of TlV2Ni (PBE).

Cell: 4.469 4.469 4.469 Å, 60.00 60.00 60.00°
Fractional coordinates of all 4 atoms:
Ni 0.000 0.000 0.000
Tl 0.500 0.500 0.500
V 0.250 0.250 0.250
V 0.750 0.750 0.750

Values from the calculation:
Total magnetic moment ... 0.960 μB/atom
ΔE_f ... 0.490 eV/atom
VASP energy ... -24.425 eV/cell
Energy above the lowest structure with this stoichiometry ... 0.0 meV/atom

Entry 4:
Entry from Alexandria via LeMat-Bulk: an optimized crystal structure of CrMo2Au (PBE).

Cell: 4.445 4.445 4.445 Å, 60.00 60.00 60.00°
Fractional coordinates of all 4 atoms:
Cr 0.000 0.000 0.000
Mo 0.250 0.250 0.250
Mo 0.750 0.750 0.750
Au 0.500 0.500 0.500

Values from the calculation:
Total magnetic moment ... 0.000 μB/atom
ΔE_f ... 0.522 eV/atom
VASP energy ... -32.476 eV/cell
Energy above the lowest structure with this stoichiometry ... 308.9 meV/atom

Entry 5:
Entry from Alexandria via LeMat-Bulk: an optimized crystal structure of LaH3W (PBE).

Cell: 4.087 4.087 4.087 Å, 90.00 90.00 90.00°
Fractional coordinates of all 5 atoms:
H 0.000 0.500 0.000
H 0.000 0.000 0.500
H 0.500 0.000 0.000
W 0.500 0.500 0.500
La 0.000 0.000 0.000

Values from the calculation:
Total magnetic moment ... 0.000 μB/atom
VASP energy ... -22.006 eV/cell
Energy above the lowest structure with this stoichiometry ... 1242.5 meV/atom

Entry 6:
Entry from Alexandria via LeMat-Bulk: an optimized crystal structure of Si4RuPt (PBE).

Cell: 4.901 4.901 4.901 Å, 60.00 60.00 60.00°
Fractional coordinates of all 6 atoms:
Si 0.876 0.375 0.375
Si 0.375 0.375 0.876
Si 0.375 0.876 0.375
Si 0.375 0.375 0.375
Ru 0.000 0.000 0.000
Pt 0.750 0.750 0.750

Values from the calculation:
Total magnetic moment ... 0.000 μB/atom
VASP energy ... -34.771 eV/cell
Energy relative to the elements, uncorrected ... 373 meV/atom

Entry 7:
Entry from Alexandria via LeMat-Bulk: an optimized crystal structure of SrZrMnOs2 (PBE).

Cell: 4.973 4.795 4.973 Å, 90.00 90.00 90.00°
Fractional coordinates of all 5 atoms:
Sr 0.500 0.500 0.500
Mn 0.000 0.500 0.000
Os 0.000 0.000 0.500
Os 0.500 0.000 0.000
Zr 0.000 0.000 0.000

Values from the calculation:
Total magnetic moment ... 0.062 μB/atom
ΔE_f ... 1.567 eV/atom
VASP energy ... -34.024 eV/cell

Entry 8:
Entry from Alexandria via LeMat-Bulk: an optimized crystal structure of AcCe3Sn2 (PBE).

Cell: 4.993 10.073 8.279 Å, 116.91 90.00 104.35°
Fractional coordinates of all 12 atoms:
Ac 0.884 0.767 0.950
Ac 0.116 0.233 0.050
Ce 0.300 0.600 0.504
Ce 0.933 0.866 0.521
Ce 0.620 0.240 0.691
Ce 0.380 0.760 0.309
Ce 0.067 0.134 0.479
Ce 0.700 0.400 0.496
Sn 0.478 0.956 0.794
Sn 0.522 0.044 0.206
Sn 0.757 0.514 0.181
Sn 0.243 0.486 0.819

Values from the calculation:
Total magnetic moment ... 0.220 μB/atom
ΔE_f ... -0.442 eV/atom
VASP energy ... -65.133 eV/cell

Entry 9:
Entry from Alexandria via LeMat-Bulk: an optimized crystal structure of ErCd4Hg (PBE).

Cell: 5.024 5.024 6.449 Å, 90.00 90.00 120.00°
Fractional coordinates of all 6 atoms:
Er 0.000 0.000 0.500
Cd 0.333 0.667 0.257
Cd 0.333 0.667 0.743
Cd 0.667 0.333 0.257
Cd 0.667 0.333 0.743
Hg 0.000 0.000 0.000

Values from the calculation:
Total magnetic moment ... 0.000 μB/atom
ΔE_f ... -0.169 eV/atom
VASP energy ... -9.541 eV/cell
Energy above the lowest structure with this stoichiometry ... 0.0 meV/atom

Entry 10:
Entry from Alexandria via LeMat-Bulk: an optimized crystal structure of Li2ScCd (PBE).

Cell: 5.071 3.061 5.385 Å, 86.25 90.00 90.00°
Fractional coordinates of all 4 atoms:
Cd 0.500 0.750 0.750
Li 0.000 0.947 0.988
Li 0.000 0.553 0.512
Sc 0.500 0.250 0.250

Values from the calculation:
Total magnetic moment ... 0.000 μB/atom
ΔE_f ... -0.043 eV/atom
VASP energy ... -11.248 eV/cell
Energy above the lowest structure with this stoichiometry ... 36.6 meV/atom

Entry 11:
Entry from Alexandria via LeMat-Bulk: an optimized crystal structure of HoInIr (PBE).

Cell: 7.503 7.503 3.939 Å, 90.00 90.00 120.00°
Fractional coordinates of all 9 atoms:
Ho 0.595 0.595 0.000
Ho 0.405 0.000 0.000
Ho 0.000 0.405 0.000
In 0.000 0.742 0.500
In 0.258 0.258 0.500
In 0.742 0.000 0.500
Ir 0.000 0.000 0.000
Ir 0.667 0.333 0.500
Ir 0.333 0.667 0.500

Values from the calculation:
Total magnetic moment ... 0.000 μB/atom
ΔE_f ... -0.708 eV/atom
VASP energy ... -54.901 eV/cell

Entry 12:
Entry from Alexandria via LeMat-Bulk: an optimized crystal structure of SrSn2AuI (PBE).

Cell: 6.413 6.413 5.625 Å, 90.00 90.00 90.00°
Fractional coordinates of all 5 atoms:
I 0.500 0.500 0.500
Sr 0.000 0.000 0.000
Au 0.000 0.000 0.500
Sn 0.000 0.500 0.000
Sn 0.500 0.000 0.000

Values from the calculation:
Total magnetic moment ... 0.200 μB/atom
VASP energy ... -11.616 eV/cell
Energy relative to the elements, uncorrected ... 580 meV/atom

Entry 13:
Entry from Alexandria via LeMat-Bulk: an optimized crystal structure of Mn2Ir (PBE).

Cell: 7.196 7.196 2.765 Å, 90.00 90.00 120.00°
Fractional coordinates of all 9 atoms:
Mn 0.000 0.297 0.000
Mn 0.000 0.626 0.500
Mn 0.297 0.000 0.000
Mn 0.703 0.703 0.000
Mn 0.626 0.000 0.500
Mn 0.374 0.374 0.500
Ir 0.000 0.000 0.500
Ir 0.333 0.667 0.000
Ir 0.667 0.333 0.000

Values from the calculation:
Total magnetic moment ... 0.162 μB/atom
ΔE_f ... -0.046 eV/atom
VASP energy ... -82.011 eV/cell

Entry 14:
Entry from Alexandria via LeMat-Bulk: an optimized crystal structure of Sr2ReO4F (PBE).

Cell: 3.413 5.338 7.113 Å, 68.99 76.12 71.36°
Fractional coordinates of all 8 atoms:
Sr 0.826 0.628 0.719
Sr 0.174 0.372 0.281
Re 0.000 0.000 0.000
O 0.137 0.992 0.734
O 0.398 0.260 0.945
O 0.863 0.008 0.266
O 0.602 0.740 0.055
F 0.500 0.500 0.500

Values from the calculation:
Total magnetic moment ... 0.000 μB/atom
VASP energy ... -57.189 eV/cell
Energy relative to the elements, uncorrected ... -2459 meV/atom

Entry 15:
Entry from Alexandria via LeMat-Bulk: an optimized crystal structure of Ca2NiHgGe (PBE).

Cell: 5.439 5.439 4.412 Å, 90.00 90.00 90.00°
Fractional coordinates of all 5 atoms:
Ni 0.000 0.000 0.000
Ge 0.000 0.000 0.500
Ca 0.000 0.500 0.000
Ca 0.500 0.000 0.000
Hg 0.500 0.500 0.500

Values from the calculation:
Total magnetic moment ... 0.000 μB/atom
ΔE_f ... -0.384 eV/atom
VASP energy ... -16.623 eV/cell
Energy above the lowest structure with this stoichiometry ... 0.0 meV/atom

Entry 16:
Entry from Alexandria via LeMat-Bulk: an optimized crystal structure of CeZrS3 (PBE).

Cell: 3.745 8.236 13.827 Å, 90.00 90.00 90.00°
Fractional coordinates of all 20 atoms:
Ce 0.250 0.868 0.305
Ce 0.750 0.132 0.695
Ce 0.750 0.632 0.805
Ce 0.250 0.368 0.195
Zr 0.250 0.671 0.542
Zr 0.750 0.329 0.458
Zr 0.750 0.829 0.042
Zr 0.250 0.171 0.958
S 0.750 0.158 0.299
S 0.250 0.663 0.958
S 0.250 0.011 0.118
S 0.250 0.511 0.382
S 0.250 0.163 0.542
S 0.750 0.489 0.618
S 0.250 0.342 0.799
S 0.750 0.989 0.882
S 0.750 0.337 0.042
S 0.750 0.658 0.201
S 0.750 0.837 0.458
S 0.250 0.842 0.701

Values from the calculation:
Total magnetic moment ... 0.173 μB/atom
VASP energy ... -143.037 eV/cell
Energy relative to the elements, uncorrected ... -1779 meV/atom

Entry 17:
Entry from Alexandria via LeMat-Bulk: an optimized crystal structure of TcAgTe (PBE).

Cell: 4.440 4.440 3.471 Å, 90.00 90.00 120.00°
Fractional coordinates of all 3 atoms:
Ag 0.000 0.000 0.000
Tc 0.333 0.667 0.502
Te 0.667 0.333 0.498

Values from the calculation:
Total magnetic moment ... 0.000 μB/atom
VASP energy ... -14.813 eV/cell
Energy relative to the elements, uncorrected ... 515 meV/atom
Energy above the lowest structure with this stoichiometry ... 166.5 meV/atom

Entry 18:
Entry from Alexandria via LeMat-Bulk: an optimized crystal structure of KAgCBr2 (PBE).

Cell: 5.431 4.161 5.431 Å, 90.00 90.00 90.00°
Fractional coordinates of all 5 atoms:
C 0.000 0.000 0.000
K 0.500 0.500 0.500
Br 0.000 0.000 0.500
Br 0.500 0.000 0.000
Ag 0.000 0.500 0.000

Values from the calculation:
Total magnetic moment ... 0.000 μB/atom
VASP energy ... -15.207 eV/cell
Energy relative to the elements, uncorrected ... 262 meV/atom

Entry 19:
Entry from Alexandria via LeMat-Bulk: an optimized crystal structure of Ti2ReW (PBE).

Cell: 5.167 9.344 5.346 Å, 90.00 90.00 90.00°
Fractional coordinates of all 16 atoms:
Ti 0.250 0.000 0.833
Ti 0.750 0.250 0.964
Ti 0.750 0.500 0.167
Ti 0.750 0.000 0.167
Ti 0.250 0.250 0.036
Ti 0.250 0.750 0.036
Ti 0.750 0.750 0.964
Ti 0.250 0.500 0.833
Re 0.000 0.750 0.500
Re 0.500 0.750 0.500
Re 0.500 0.250 0.500
Re 0.000 0.250 0.500
W 0.750 0.000 0.648
W 0.750 0.500 0.648
W 0.250 0.500 0.352
W 0.250 0.000 0.352

Values from the calculation:
Total magnetic moment ... 0.000 μB/atom
ΔE_f ... 0.125 eV/atom
VASP energy ... -162.767 eV/cell

Entry 20:
Entry from Alexandria via LeMat-Bulk: an optimized crystal structure of Re2SN (PBE).

Cell: 5.079 5.079 5.828 Å, 64.17 64.17 90.00°
Fractional coordinates of all 8 atoms:
Re 0.575 0.125 0.250
Re 0.175 0.625 0.250
Re 0.375 0.425 0.750
Re 0.875 0.825 0.750
S 0.000 0.000 0.000
S 0.750 0.250 0.500
N 0.500 0.500 0.000
N 0.250 0.750 0.500

Values from the calculation:
Total magnetic moment ... 0.000 μB/atom
VASP energy ... -71.463 eV/cell
Energy relative to the elements, uncorrected ... 404 meV/atom
Energy above the lowest structure with this stoichiometry ... 0.0 meV/atom

Entry 21:
Entry from Alexandria via LeMat-Bulk: an optimized crystal structure of Zr2AgTe4 (PBE).

Cell: 4.053 8.157 6.993 Å, 64.42 90.00 75.62°
Fractional coordinates of all 7 atoms:
Zr 0.756 0.489 0.741
Zr 0.244 0.511 0.259
Ag 0.000 0.000 0.000
Te 0.878 0.244 0.530
Te 0.122 0.756 0.470
Te 0.626 0.748 0.947
Te 0.374 0.252 0.053

Values from the calculation:
Total magnetic moment ... 0.000 μB/atom
VASP energy ... -37.476 eV/cell
Energy relative to the elements, uncorrected ... -709 meV/atom
Energy above the lowest structure with this stoichiometry ... 0.0 meV/atom

Entry 22:
Entry from Alexandria via LeMat-Bulk: an optimized crystal structure of TlSeCl2 (PBE).

Cell: 5.384 5.384 5.384 Å, 60.00 60.00 60.00°
Fractional coordinates of all 4 atoms:
Tl 0.500 0.500 0.500
Se 0.000 0.000 0.000
Cl 0.250 0.250 0.250
Cl 0.750 0.750 0.750

Values from the calculation:
Total magnetic moment ... 0.747 μB/atom
VASP energy ... -9.694 eV/cell
Energy relative to the elements, uncorrected ... -38 meV/atom
Energy above the lowest structure with this stoichiometry ... 350.2 meV/atom

Entry 23:
Entry from Alexandria via LeMat-Bulk: an optimized crystal structure of BiWAu3 (PBE).

Cell: 5.065 5.065 5.065 Å, 90.00 90.00 90.00°
Fractional coordinates of all 5 atoms:
Au 0.000 0.500 0.000
Au 0.000 0.000 0.500
Au 0.500 0.000 0.000
Bi 0.500 0.500 0.500
W 0.000 0.000 0.000

Values from the calculation:
Total magnetic moment ... 0.000 μB/atom
ΔE_f ... 1.045 eV/atom
VASP energy ... -21.442 eV/cell
Energy above the lowest structure with this stoichiometry ... 0.0 meV/atom

Entry 24:
Entry from Alexandria via LeMat-Bulk: an optimized crystal structure of YPb2 (PBE).

Cell: 5.238 5.240 5.239 Å, 60.00 59.99 59.99°
Fractional coordinates of all 3 atoms:
Pb 0.750 0.750 0.750
Pb 0.250 0.250 0.250
Y 0.000 0.000 0.000

Values from the calculation:
Total magnetic moment ... 0.000 μB/atom
ΔE_f ... -0.091 eV/atom
VASP energy ... -14.153 eV/cell

Entry 25:
Entry from Alexandria via LeMat-Bulk: an optimized crystal structure of DyHo3Bi (PBE).

Cell: 7.924 7.924 7.924 Å, 87.11 114.29 129.71°
Fractional coordinates of all 10 atoms:
Dy 0.538 0.031 0.007
Dy 0.025 0.531 0.993
Ho 0.998 0.257 0.683
Ho 0.998 0.815 0.241
Ho 0.573 0.757 0.759
Ho 0.110 0.286 0.324
Ho 0.573 0.315 0.317
Ho 0.962 0.786 0.676
Bi 0.583 0.769 0.314
Bi 0.456 0.269 0.686

Values from the calculation:
Total magnetic moment ... 0.000 μB/atom
ΔE_f ... 0.159 eV/atom
VASP energy ... -42.841 eV/cell

Entry 26:
Entry from Alexandria via LeMat-Bulk: an optimized crystal structure of VNiPb2 (PBE).

Cell: 4.834 4.834 4.834 Å, 60.00 60.00 60.00°
Fractional coordinates of all 4 atoms:
Pb 0.250 0.250 0.250
Pb 0.750 0.750 0.750
Ni 0.500 0.500 0.500
V 0.000 0.000 0.000

Values from the calculation:
Total magnetic moment ... 0.727 μB/atom
ΔE_f ... 0.488 eV/atom
VASP energy ... -20.363 eV/cell
Energy above the lowest structure with this stoichiometry ... 0.0 meV/atom